[1]
9
Lattice="-3.841 -0.627 -0.029 -1.215 -4.448 -4.112 -1.291 -4.363 4.180" Properties=species:S:1:pos:R:3 comment="SCAN OsPt8, single point on PBEsol structure" delta_e_f_kcal_per_mol_atoms=2.252 crystal_system=tetragonal dos_ef_per_ev_fu=14.90 pbc="T T T"
Os 0.000 0.000 0.000
Pt -1.240 -4.420 -1.376
Pt -1.266 -4.391 1.444
Pt -2.946 -6.110 0.036
Pt -1.690 -1.666 -1.355
Pt -1.714 -1.638 1.357
Pt -3.400 -3.327 0.003
Pt -3.417 -3.351 2.793
Pt -3.366 -3.409 -2.786

---

[2]
5
Lattice="5.056 0.000 0.000 0.000 5.538 0.000 0.000 0.000 5.538" Properties=species:S:1:pos:R:3 comment="SCAN Ba2LaTlC, single point on PBEsol structure" delta_e_f_kcal_per_mol_atoms=14.313 crystal_system=tetragonal dos_ef_per_ev_fu=5.08 pbc="T T T"
C 0.000 0.000 0.000
Tl 2.528 0.000 0.000
Ba 0.000 0.000 2.769
Ba 0.000 2.769 0.000
La 2.528 2.769 2.769

---

[3]
10
Lattice="-1.882 4.277 -4.660 -0.698 -2.019 -6.244 -6.020 -0.461 -2.665" Properties=species:S:1:pos:R:3 comment="SCAN CsRb2RhF6, single point on PBEsol structure" e_form_raw_ev_per_atom=-2.52 crystal_system=cubic dos_ef_per_ev_fu=0.00 pbc="T T T"
Cs -4.300 0.899 -6.785
Rh 0.000 0.000 0.000
Rb -6.450 1.348 -10.178
Rb -2.150 0.449 -3.393
F -2.222 -0.785 -6.473
F -5.695 -1.051 -8.011
F -2.905 2.848 -5.559
F -3.308 1.683 -9.162
F -6.378 2.582 -7.097
F -5.292 0.114 -4.408

---

[4]
4
Lattice="-0.299 4.645 2.187 0.522 -4.195 2.935 4.427 -0.876 2.466" Properties=species:S:1:pos:R:3 comment="SCAN MnInBr2, single point on PBEsol structure" e_form_raw_ev_per_atom=-0.23 crystal_system=cubic dos_ef_per_ev_fu=1.60 e_above_lowest_polymorph_mev_per_atom=367.6 pbc="T T T"
Br 1.293 -1.155 2.631
Br 3.357 0.729 4.957
In 2.064 1.884 2.326
Mn 0.000 0.000 0.000